Computed, not measured: crystalline Ho2Zn12CdCu3 at its relaxed geometry at the PBE level of DFT.

Computed properties:
Its formation enthalpy at 0 K is 0.246 eV/atom. The calculation puts the total DFT energy (no corrections) at -0.136 Ry/atom.

The structure in extended XYZ format:
```
18
Lattice="8.154 -0.018 -0.013 4.011 7.099 -0.013 4.011 2.335 6.704" Properties=species:S:1:pos:R:3 pbc="T T T"
Zn 8.595 5.003 0.904
Zn 10.563 7.863 5.577
Zn 7.581 6.909 2.256
Zn 4.122 4.114 1.101
Zn 4.122 2.400 3.519
Zn 9.751 3.180 2.256
Zn 8.595 2.507 4.423
Zn 12.053 7.016 3.160
Zn 12.053 5.302 5.577
Zn 6.425 6.235 4.423
Zn 5.613 1.553 1.101
Zn 7.581 4.413 5.774
Cu 2.006 3.549 -0.006
Cu 2.006 1.167 3.352
Cu 4.077 -0.009 -0.006
Cd 0.000 0.000 0.000
Ho 6.615 3.851 2.731
Ho 9.561 5.565 3.947
```